(1)
# CeDyPaPb | the Alexandria database | PBE | optimized geometry
data_CeDyPaPb
_chemical_formula_sum 'Ce1 Dy1 Pa1 Pb1'
_symmetry_space_group_name_H-M 'P 1'
_symmetry_Int_Tables_number 1
_symmetry_space_group_name_Hall 'P 1'
_cell_length_a 5.3971
_cell_length_b 5.3971
_cell_length_c 5.3971
_cell_angle_alpha 60.00
_cell_angle_beta 60.00
_cell_angle_gamma 60.00
loop_
_atom_site_label
_atom_site_fract_x
_atom_site_fract_y
_atom_site_fract_z
Pb1 0.0000 0.0000 0.0000
Pa1 0.5000 0.5000 0.5000
Ce1 0.2500 0.2500 0.2500
Dy1 0.7500 0.7500 0.7500
# SG: F-43m, No. 216
# Formation energy from the elements: 119.8 meV/atom
# Spin magnetization: 0.6708 μB per atom
# Total DFT energy (no corrections): -5.815 eV/atom


(2)
# CePmDyPa | the Alexandria database | PBE | optimized geometry
data_CePmDyPa
_chemical_formula_sum 'Ce1 Pm1 Dy1 Pa1'
_symmetry_space_group_name_H-M 'P 1'
_symmetry_Int_Tables_number 1
_symmetry_space_group_name_Hall 'P 1'
_cell_length_a 5.5561
_cell_length_b 5.5561
_cell_length_c 5.5561
_cell_angle_alpha 60.00
_cell_angle_beta 60.00
_cell_angle_gamma 60.00
loop_
_atom_site_label
_atom_site_fract_x
_atom_site_fract_y
_atom_site_fract_z
Pa1 0.2500 0.2500 0.2500
Pm1 0.5000 0.5000 0.5000
Ce1 0.0000 0.0000 0.0000
Dy1 0.7500 0.7500 0.7500
# SG: F-43m, No. 216
# Formation energy from the elements: 390.8 meV/atom
# Spin magnetization: 1.0349 μB per atom
# Total DFT energy (no corrections): -5.805 eV/atom


(3)
# CeDyPa2Rh4 | the Alexandria database | PBE | optimized geometry
data_CeDyPa2Rh4
_chemical_formula_sum 'Ce1 Dy1 Pa2 Rh4'
_symmetry_space_group_name_H-M 'P 1'
_symmetry_Int_Tables_number 1
_symmetry_space_group_name_Hall 'P 1'
_cell_length_a 5.6523
_cell_length_b 5.6523
_cell_length_c 6.9229
_cell_angle_alpha 116.37
_cell_angle_beta 116.37
_cell_angle_gamma 84.95
loop_
_atom_site_label
_atom_site_fract_x
_atom_site_fract_y
_atom_site_fract_z
Ce1 0.9278 0.9278 0.0000
Dy1 0.4991 0.4991 0.0000
Pa1 0.1668 0.6668 0.5000
Pa2 0.6668 0.1668 0.5000
Rh1 0.0073 0.4066 0.0000
Rh2 0.4066 0.0073 0.0000
Rh3 0.1675 0.1675 0.5120
Rh4 0.6555 0.6555 0.4880
# SG: Fmm2, No. 42
# Formation energy from the elements: -718.4 meV/atom
# Spin magnetization: 0.0000 μB per atom
# Total DFT energy (no corrections): -8.085 eV/atom


(4)
# CeDy2Pa2Ru5 | the Alexandria database | PBE | optimized geometry
data_CeDy2Pa2Ru5
_chemical_formula_sum 'Ce2 Dy4 Pa4 Ru10'
_symmetry_space_group_name_H-M 'P 1'
_symmetry_Int_Tables_number 1
_symmetry_space_group_name_Hall 'P 1'
_cell_length_a 3.6928
_cell_length_b 10.5799
_cell_length_c 10.5799
_cell_angle_alpha 90.00
_cell_angle_beta 90.00
_cell_angle_gamma 90.00
loop_
_atom_site_label
_atom_site_fract_x
_atom_site_fract_y
_atom_site_fract_z
Ce1 0.0000 0.0000 0.0000
Ce2 0.0000 0.5000 0.5000
Dy1 0.0000 0.6724 0.1724
Dy2 0.0000 0.3276 0.8276
Dy3 0.0000 0.1724 0.3276
Dy4 0.0000 0.8276 0.6724
Pa1 0.0000 0.1352 0.6352
Pa2 0.0000 0.8648 0.3648
Pa3 0.0000 0.6352 0.8648
Pa4 0.0000 0.3648 0.1352
Ru1 0.5000 0.2020 0.0557
Ru2 0.5000 0.7980 0.9443
Ru3 0.5000 0.0557 0.7980
Ru4 0.5000 0.7020 0.4443
Ru5 0.5000 0.9443 0.2020
Ru6 0.5000 0.2980 0.5557
Ru7 0.5000 0.5557 0.7020
Ru8 0.5000 0.4443 0.2980
Ru9 0.5000 0.5000 0.0000
Ru10 0.5000 0.0000 0.5000
# SG: P4/mbm, No. 127
# Formation energy from the elements: -349.9 meV/atom
# Spin magnetization: 0.0000 μB per atom
# Total DFT energy (no corrections): -8.401 eV/atom


(5)
# CeDyPa2S4 | the Alexandria database | PBE | optimized geometry
data_CeDyPa2S4
_chemical_formula_sum 'Ce1 Dy1 Pa2 S4'
_symmetry_space_group_name_H-M 'P 1'
_symmetry_Int_Tables_number 1
_symmetry_space_group_name_Hall 'P 1'
_cell_length_a 3.8237
_cell_length_b 6.7271
_cell_length_c 6.9781
_cell_angle_alpha 108.13
_cell_angle_beta 90.00
_cell_angle_gamma 90.00
loop_
_atom_site_label
_atom_site_fract_x
_atom_site_fract_y
_atom_site_fract_z
Ce1 0.0000 0.0000 0.0000
Dy1 0.5000 0.5000 0.0000
Pa1 0.5000 0.0000 0.5000
Pa2 0.0000 0.5000 0.5000
S1 0.5000 0.2552 0.2512
S2 0.5000 0.7448 0.7488
S3 0.0000 0.2553 0.7517
S4 0.0000 0.7447 0.2483
# SG: P2/m, No. 10
# Formation energy (no corrections): -1.793 eV per atom
# Spin magnetization: 0.0233 μB per atom
# Total DFT energy (no corrections): -7.548 eV/atom


(6)
# Ce2DyPaS5 | the Alexandria database | PBE | optimized geometry
data_Ce2DyPaS5
_chemical_formula_sum 'Ce2 Dy1 Pa1 S5'
_symmetry_space_group_name_H-M 'P 1'
_symmetry_Int_Tables_number 1
_symmetry_space_group_name_Hall 'P 1'
_cell_length_a 4.8782
_cell_length_b 4.8782
_cell_length_c 10.3967
_cell_angle_alpha 90.00
_cell_angle_beta 90.00
_cell_angle_gamma 90.00
loop_
_atom_site_label
_atom_site_fract_x
_atom_site_fract_y
_atom_site_fract_z
Ce1 0.5000 0.5000 0.2922
Ce2 0.5000 0.5000 0.7078
Dy1 0.0000 0.0000 0.5000
Pa1 0.0000 0.0000 0.0000
S1 0.0000 0.5000 0.5000
S2 0.5000 0.0000 0.5000
S3 0.0000 0.0000 0.7540
S4 0.0000 0.0000 0.2460
S5 0.5000 0.5000 0.0000
# SG: P4/mmm, No. 123
# Formation energy (no corrections): -1.275 eV per atom
# Spin magnetization: 0.6108 μB per atom
# Total DFT energy (no corrections): -6.453 eV/atom


(7)
# Ce2DyPaSb4 | the Alexandria database | PBE | optimized geometry
data_Ce2DyPaSb4
_chemical_formula_sum 'Ce2 Dy1 Pa1 Sb4'
_symmetry_space_group_name_H-M 'P 1'
_symmetry_Int_Tables_number 1
_symmetry_space_group_name_Hall 'P 1'
_cell_length_a 4.4365
_cell_length_b 7.6829
_cell_length_c 7.6959
_cell_angle_alpha 109.41
_cell_angle_beta 90.00
_cell_angle_gamma 90.00
loop_
_atom_site_label
_atom_site_fract_x
_atom_site_fract_y
_atom_site_fract_z
Ce1 0.5000 0.0000 0.5000
Ce2 0.0000 0.5000 0.5000
Dy1 0.0000 0.0000 0.0000
Pa1 0.5000 0.5000 0.0000
Sb1 0.5000 0.2483 0.2419
Sb2 0.5000 0.7517 0.7581
Sb3 0.0000 0.2527 0.7583
Sb4 0.0000 0.7473 0.2417
# SG: P2/m, No. 10
# Formation energy (no corrections): -0.915 eV per atom
# Spin magnetization: 0.3468 μB per atom
# Total DFT energy (no corrections): -6.222 eV/atom


(8)
# Ce2DyPaSb5 | the Alexandria database | PBE | optimized geometry
data_Ce2DyPaSb5
_chemical_formula_sum 'Ce2 Dy1 Pa1 Sb5'
_symmetry_space_group_name_H-M 'P 1'
_symmetry_Int_Tables_number 1
_symmetry_space_group_name_Hall 'P 1'
_cell_length_a 5.3151
_cell_length_b 5.3151
_cell_length_c 11.5890
_cell_angle_alpha 90.00
_cell_angle_beta 90.00
_cell_angle_gamma 90.00
loop_
_atom_site_label
_atom_site_fract_x
_atom_site_fract_y
_atom_site_fract_z
Ce1 0.5000 0.5000 0.3110
Ce2 0.5000 0.5000 0.6890
Dy1 0.0000 0.0000 0.5000
Pa1 0.0000 0.0000 0.0000
Sb1 0.0000 0.5000 0.5000
Sb2 0.5000 0.0000 0.5000
Sb3 0.0000 0.0000 0.7538
Sb4 0.0000 0.0000 0.2462
Sb5 0.5000 0.5000 0.0000
# SG: P4/mmm, No. 123
# Formation energy (no corrections): -0.138 eV per atom
# Spin magnetization: 0.2098 μB per atom
# Total DFT energy (no corrections): -5.313 eV/atom


(9)
# CeDyPa2Sb4 | the Alexandria database | PBE | optimized geometry
data_CeDyPa2Sb4
_chemical_formula_sum 'Ce1 Dy1 Pa2 Sb4'
_symmetry_space_group_name_H-M 'P 1'
_symmetry_Int_Tables_number 1
_symmetry_space_group_name_Hall 'P 1'
_cell_length_a 4.3971
_cell_length_b 7.6185
_cell_length_c 7.6609
_cell_angle_alpha 109.34
_cell_angle_beta 90.00
_cell_angle_gamma 90.00
loop_
_atom_site_label
_atom_site_fract_x
_atom_site_fract_y
_atom_site_fract_z
Ce1 0.0000 0.0000 0.0000
Dy1 0.5000 0.5000 0.0000
Pa1 0.5000 0.0000 0.5000
Pa2 0.0000 0.5000 0.5000
Sb1 0.5000 0.2549 0.2539
Sb2 0.5000 0.7451 0.7461
Sb3 0.0000 0.2529 0.7484
Sb4 0.0000 0.7471 0.2516
# SG: P2/m, No. 10
# Formation energy (no corrections): -0.751 eV per atom
# Spin magnetization: 0.3479 μB per atom
# Total DFT energy (no corrections): -6.503 eV/atom


(10)
# CeDyScPa | the Alexandria database | PBE | optimized geometry
data_CeDyScPa
_chemical_formula_sum 'Ce1 Dy1 Sc1 Pa1'
_symmetry_space_group_name_H-M 'P 1'
_symmetry_Int_Tables_number 1
_symmetry_space_group_name_Hall 'P 1'
_cell_length_a 5.3602
_cell_length_b 5.3602
_cell_length_c 5.3602
_cell_angle_alpha 60.00
_cell_angle_beta 60.00
_cell_angle_gamma 60.00
loop_
_atom_site_label
_atom_site_fract_x
_atom_site_fract_y
_atom_site_fract_z
Sc1 0.0000 0.0000 0.0000
Pa1 0.2500 0.2500 0.2500
Ce1 0.5000 0.5000 0.5000
Dy1 0.7500 0.7500 0.7500
# SG: F-43m, No. 216
# Formation energy from the elements: 323.1 meV/atom
# Spin magnetization: 0.4234 μB per atom
# Total DFT energy (no corrections): -6.268 eV/atom